{"formula": "Ho2ZrP", "functional": "GGA-PBE", "state": "relaxed", "magnetic_moment_mub_per_atom": 0.46, "energy_ev_per_atom": -6.05, "mass_density_g_cm3": 6.830, "cell": [[-1.208, 1.345, 3.160], [-1.664, -2.184, 2.390], [7.483, -2.257, 5.920]], "species": ["P", "Ho", "Zr", "Ho"], "frac_coords": [[0.500, 0.500, 0.500], [0.109, 0.109, 0.674], [0.000, 0.000, 0.000], [0.891, 0.891, 0.326]]}